Entry 1:
The following is a DFT calculation (PBEsol) of crystalline Cd2Te3O9 at its relaxed geometry.

Lattice parameters (Å, degrees): 9.308 7.323 13.102 90.00 122.27 90.00
Positions (direct):
Cd1 0.095 0.125 0.144
Cd2 0.095 0.375 0.644
Cd3 0.098 0.624 0.146
Cd4 0.098 0.876 0.646
Cd5 0.902 0.124 0.354
Cd6 0.902 0.376 0.854
Cd7 0.905 0.625 0.356
Cd8 0.905 0.875 0.856
Te1 0.267 0.621 0.939
Te2 0.267 0.879 0.439
Te3 0.286 0.116 0.953
Te4 0.286 0.384 0.453
Te5 0.497 0.128 0.749
Te6 0.497 0.372 0.249
Te7 0.503 0.628 0.751
Te8 0.503 0.872 0.251
Te9 0.714 0.616 0.547
Te10 0.714 0.884 0.047
Te11 0.733 0.121 0.561
Te12 0.733 0.379 0.061
O1 0.090 0.119 0.962
O2 0.090 0.381 0.462
O3 0.091 0.632 0.971
O4 0.091 0.868 0.471
O5 0.148 0.084 0.336
O6 0.148 0.416 0.836
O7 0.174 0.654 0.345
O8 0.174 0.846 0.845
O9 0.274 0.131 0.717
O10 0.274 0.369 0.217
O11 0.279 0.621 0.717
O12 0.279 0.879 0.217
O13 0.413 0.190 0.579
O14 0.413 0.310 0.079
O15 0.423 0.567 0.580
O16 0.423 0.933 0.080
O17 0.464 0.623 0.190
O18 0.464 0.877 0.690
O19 0.536 0.123 0.310
O20 0.536 0.377 0.810
O21 0.577 0.067 0.920
O22 0.577 0.433 0.420
O23 0.587 0.690 0.921
O24 0.587 0.810 0.421
O25 0.721 0.121 0.783
O26 0.721 0.379 0.283
O27 0.726 0.631 0.783
O28 0.726 0.869 0.283
O29 0.826 0.154 0.155
O30 0.826 0.346 0.655
O31 0.852 0.584 0.164
O32 0.852 0.916 0.664
O33 0.909 0.132 0.529
O34 0.909 0.368 0.029
O35 0.910 0.619 0.538
O36 0.910 0.881 0.038

Properties
Uncorrected formation energy   -1081 meV/atom
E_tot   -301.42 eV/cell
SG   P2_1/c (14)
ρ   6.61 Mg/m³



Entry 2:
The following is a DFT calculation (PBEsol) of crystalline HgPbBr2 at its relaxed geometry.

Lattice parameters (Å, degrees): 6.020 6.020 6.020 135.09 135.09 65.39
Positions (direct):
Hg1 0.000 0.000 0.000
Pb1 0.750 0.250 0.500
Br1 0.250 0.750 0.500
Br2 0.500 0.500 0.000

Properties
Uncorrected formation energy   -378 meV/atom
E_tot   -9.82 eV/cell
SG   I-4m2 (119)
E above lowest polymorph   0.162 eV/atom
ρ   8.80 Mg/m³



Entry 3:
The following is a DFT calculation (PBEsol) of crystalline Mg3Zr at its relaxed geometry.

Lattice parameters (Å, degrees): 5.983 5.983 5.983 117.47 117.47 117.47
Positions (direct):
Mg1 0.000 0.500 0.500
Mg2 0.500 0.000 0.500
Mg3 0.500 0.500 0.000
Zr1 0.000 0.000 0.000

Properties
E_tot   -14.00 eV/cell
SG   R-3m (166)
ρ   3.13 Mg/m³



Entry 4:
The following is a DFT calculation (PBEsol) of crystalline ZrCdW at its relaxed geometry.

Lattice parameters (Å, degrees): 4.600 4.600 4.600 60.00 60.00 60.00
Positions (direct):
Zr1 0.000 0.000 0.000
Cd1 0.750 0.750 0.750
W1 0.250 0.250 0.250

Properties
E_tot   -19.86 eV/cell
SG   F-43m (216)
E above lowest polymorph   1.134 eV/atom
ρ   9.35 Mg/m³



Entry 5:
The following is a DFT calculation (PBEsol) of crystalline ScCr2Hg at its relaxed geometry.

Lattice parameters (Å, degrees): 4.566 4.566 4.566 60.00 60.00 60.00
Positions (direct):
Sc1 0.000 0.000 0.000
Cr1 0.250 0.250 0.250
Cr2 0.500 0.500 0.500
Hg1 0.750 0.750 0.750

Properties
E_tot   -26.80 eV/cell
SG   F-43m (216)
ρ   8.63 Mg/m³



Entry 6:
The following is a DFT calculation (PBEsol) of crystalline MoP2Ru at its relaxed geometry.

Lattice parameters (Å, degrees): 4.752 4.752 2.835 106.27 106.27 105.78
Positions (direct):
Mo1 0.000 0.000 0.000
P1 0.000 0.500 0.500
P2 0.500 0.000 0.500
Ru1 0.500 0.500 0.000

Properties
E_tot   -33.47 eV/cell
SG   C2/m (12)
ρ   7.88 Mg/m³



Entry 7:
The following is a DFT calculation (PBEsol) of crystalline Te2AsN2 at its relaxed geometry.

Lattice parameters (Å, degrees): 4.591 4.591 3.976 90.00 90.00 90.00
Positions (direct):
Te1 0.000 0.500 0.000
Te2 0.500 0.000 0.000
As1 0.000 0.000 0.500
N1 0.500 0.500 0.000
N2 0.500 0.500 0.500

Properties
Uncorrected formation energy   1416 meV/atom
E_tot   -22.13 eV/cell
SG   P4/mmm (123)
ρ   7.10 Mg/m³



Entry 8:
The following is a DFT calculation (PBEsol) of crystalline ZrOsBr2 at its relaxed geometry.

Lattice parameters (Å, degrees): 4.245 4.245 4.447 90.00 90.00 91.35
Positions (direct):
Zr1 0.000 0.000 0.000
Os1 0.500 0.500 0.000
Br1 0.258 0.742 0.500
Br2 0.742 0.258 0.500

Properties
Uncorrected formation energy   445 meV/atom
E_tot   -23.27 eV/cell
SG   Cmmm (65)
E above lowest polymorph   0.702 eV/atom
ρ   9.15 Mg/m³